VASP calculation (GGA+U) on an optimized crystal structure of ScCoRhO2.

Results
Volume, A^3/atom: 13.1
DFT total energy, eV/atom: -6.2261
Total magnetization, μB/cell: 2.0

abc: 3.677 3.677 4.847
angles: 90.00 90.00 90.00
Atoms (fractional coordinates):
Sc 0.000 0.000 0.000
Co 0.500 0.500 0.500
Rh 0.500 0.500 0.000
O 0.000 0.500 0.500
O 0.500 0.000 0.500